An optimized crystal structure of LiCo2O4. Source: Alexandria, functional GGA+U.

Cell and atoms, written as POSCAR:
```
LiCo2O4
1.0
1.412 9.847 -0.062
-1.412 9.847 -0.062
0.000 0.312 4.847
Co O Li
4 8 2
Direct
0.000 0.000 0.500
0.500 0.500 0.000
0.254 0.254 0.746
0.746 0.746 0.254
0.200 0.200 0.437
0.449 0.449 0.339
0.300 0.300 0.081
0.800 0.800 0.563
0.950 0.950 0.851
0.551 0.551 0.661
0.700 0.700 0.919
0.050 0.050 0.149
0.124 0.124 0.782
0.876 0.876 0.218
```

E above lowest polymorph, kJ per mole of atoms: 2.1
SG: C2/m (12)
DOS at the Fermi energy, states/eV/f.u.: 1.10
Total magnetic moment, μB/cell: 2.0
Total energy, eV/cell: -79.8